First-principles (PBE) data for crystalline BaCdHgBr6 at its relaxed geometry, as listed in the Alexandria database.

```
data_BaCdHgBr6
_cell_length_a 7.2918
_cell_length_b 7.2918
_cell_length_c 7.0503
_cell_angle_alpha 90.00
_cell_angle_beta 90.00
_cell_angle_gamma 120.00
_symmetry_space_group_name_H-M 'P 3 1 2'
_symmetry_Int_Tables_number 149
loop_
_symmetry_equiv_pos_as_xyz
'x,y,z'
'-y,x-y,z'
'-x+y,-x,z'
'-y,-x,-z'
'-x+y,y,-z'
'x,x-y,-z'
loop_
_atom_site_label
_atom_site_fract_x
_atom_site_fract_y
_atom_site_fract_z
Ba1 0.0000 0.0000 0.0000
Cd1 0.3333 0.6667 0.5000
Hg1 0.6667 0.3333 0.5000
Br1 0.0044 0.3689 0.7312
```

## Properties
V = 324.8 Å³/f.u.
crystal system = trigonal
E_form (uncorrected) = -1.118 eV per atom
theoretical density = 4754 kg/m3